[1]
{"formula": "Sr2DyInHg6", "functional": "PBE-GGA", "state": "optimized geometry", "spacegroup": "Fm-3m, No. 225", "formation_enthalpy_0k_ev_per_atom": -0.1108, "crystal_system": "cubic", "lattice": [[-2.857, -5.226, -5.294], [5.310, -5.405, 2.469], [-2.457, -7.184, 2.420]], "species": ["Sr", "Sr", "Dy", "In", "Hg", "Hg", "Hg", "Hg", "Hg", "Hg"], "frac_coords": [[0.250, 0.750, 0.500], [0.750, 0.250, 0.500], [0.500, 0.500, 0.000], [0.000, 0.000, 0.000], [0.247, 0.753, 0.000], [0.753, 0.753, 0.000], [0.247, 0.247, 0.507], [0.753, 0.247, 0.000], [0.247, 0.247, 0.000], [0.753, 0.753, 0.493]]}

[2]
{"formula": "Tb2DyIn2Hg2", "functional": "PBE-GGA", "state": "optimized geometry", "spacegroup": "R-3m, No. 166", "formation_enthalpy_0k_ev_per_atom": -0.2610, "crystal_system": "trigonal", "lattice": [[-3.733, -0.598, 3.182], [-3.532, -3.328, -0.931], [2.254, -7.480, 5.076]], "species": ["Tb", "Tb", "Dy", "In", "In", "Hg", "Hg"], "frac_coords": [[0.131, 0.131, 0.608], [0.869, 0.869, 0.392], [0.000, 0.000, 0.000], [0.730, 0.730, 0.810], [0.270, 0.270, 0.190], [0.575, 0.575, 0.275], [0.425, 0.425, 0.725]]}

[3]
{"formula": "TbDyInHg", "functional": "PBE-GGA", "state": "optimized geometry", "spacegroup": "F-43m, No. 216", "formation_enthalpy_0k_ev_per_atom": -0.4660, "crystal_system": "cubic", "lattice": [[5.312, 0.000, 0.000], [2.656, 4.600, 0.000], [2.656, 1.533, 4.337]], "species": ["In", "Tb", "Hg", "Dy"], "frac_coords": [[0.250, 0.250, 0.250], [0.500, 0.500, 0.500], [0.750, 0.750, 0.750], [0.000, 0.000, 0.000]]}

[4]
{"formula": "TbDy2In2Hg2", "functional": "PBE-GGA", "state": "optimized geometry", "spacegroup": "R-3m, No. 166", "formation_enthalpy_0k_ev_per_atom": -0.2649, "crystal_system": "trigonal", "lattice": [[4.940, 0.000, 0.000], [2.470, 4.279, 0.000], [2.470, 1.426, 8.846]], "species": ["Tb", "Dy", "Dy", "In", "In", "Hg", "Hg"], "frac_coords": [[0.000, 0.000, 0.000], [0.131, 0.131, 0.607], [0.869, 0.869, 0.393], [0.731, 0.731, 0.807], [0.269, 0.269, 0.193], [0.573, 0.573, 0.280], [0.427, 0.427, 0.720]]}

What did the second record say?
{"formula": "Tb2DyIn2Hg2", "functional": "PBE-GGA", "state": "optimized geometry", "spacegroup": "R-3m, No. 166", "formation_enthalpy_0k_ev_per_atom": -0.2610, "crystal_system": "trigonal", "lattice": [[-3.733, -0.598, 3.182], [-3.532, -3.328, -0.931], [2.254, -7.480, 5.076]], "species": ["Tb", "Tb", "Dy", "In", "In", "Hg", "Hg"], "frac_coords": [[0.131, 0.131, 0.608], [0.869, 0.869, 0.392], [0.000, 0.000, 0.000], [0.730, 0.730, 0.810], [0.270, 0.270, 0.190], [0.575, 0.575, 0.275], [0.425, 0.425, 0.725]]}

Please write out number 2 again, unchanged.
{"formula": "Tb2DyIn2Hg2", "functional": "PBE-GGA", "state": "optimized geometry", "spacegroup": "R-3m, No. 166", "formation_enthalpy_0k_ev_per_atom": -0.2610, "crystal_system": "trigonal", "lattice": [[-3.733, -0.598, 3.182], [-3.532, -3.328, -0.931], [2.254, -7.480, 5.076]], "species": ["Tb", "Tb", "Dy", "In", "In", "Hg", "Hg"], "frac_coords": [[0.131, 0.131, 0.608], [0.869, 0.869, 0.392], [0.000, 0.000, 0.000], [0.730, 0.730, 0.810], [0.270, 0.270, 0.190], [0.575, 0.575, 0.275], [0.425, 0.425, 0.725]]}